A geometry-optimized Mn6PdPt5 structure, computed with PBE.

a b c (Å): 6.612 6.612 6.920
angles (deg): 90.00 90.00 143.05
Sites, in units of the cell vectors:
Mn 0.000 0.000 0.250
Mn 0.000 0.000 0.750
Mn 0.333 0.667 0.250
Mn 0.333 0.667 0.750
Mn 0.667 0.333 0.250
Mn 0.667 0.333 0.750
Pd 0.500 0.500 0.000
Pt 0.166 0.834 0.000
Pt 0.167 0.833 0.500
Pt 0.500 0.500 0.500
Pt 0.833 0.167 0.500
Pt 0.834 0.166 0.000

Results
Calculated total energy, eV per atom: -7.863
Crystal system: orthorhombic
Formation enthalpy at 0 K, eV per atom: -0.3282
Calculated volume, Å³/cell: 182
Spin magnetization, μB per formula unit: 26.5